# 1
PmNd7Dy2 | PBE | optimized geometry

Lattice parameters (Å, degrees): 12.155 17.066 3.518 90.00 90.00 90.00
Space group Cmmm (No. 65)
One atom of each set of equivalent atoms:
Pm (0.000, 0.000, 0.000) [2 per cell]
Nd (0.000, 0.323, 0.000) [4 per cell]
Nd (0.000, 0.500, 0.500) [2 per cell]
Nd (0.244, 0.370, 0.500) [8 per cell]
Dy (0.000, 0.168, 0.500) [4 per cell]

Output
Distance to the lowest polymorph of the same formula: 0 meV/atom
Energy of formation from the pure elements: 0.373 eV/atom
E_tot: -4.360 eV per atom
Theoretical density: 6.7 g/cm3


# 2
PrSm3Cd6 | PBE | optimized geometry

Lattice parameters (Å, degrees): 9.416 5.256 11.299 90.00 106.20 90.00
Space group P2_1/m (No. 11)
One atom of each set of equivalent atoms:
Pr (0.058, 0.250, 0.389) [2 per cell]
Sm (0.235, 0.250, 0.999) [2 per cell]
Sm (0.351, 0.750, 0.793) [2 per cell]
Sm (0.476, 0.250, 0.609) [2 per cell]
Cd (0.053, 0.750, 0.904) [2 per cell]
Cd (0.144, 0.750, 0.194) [2 per cell]
Cd (0.153, 0.250, 0.697) [2 per cell]
Cd (0.245, 0.750, 0.497) [2 per cell]
Cd (0.342, 0.250, 0.291) [2 per cell]
Cd (0.451, 0.750, 0.093) [2 per cell]

Output
Energy of formation from the pure elements: -0.293 eV/atom
E_tot: -2.736 eV per atom
Theoretical density: 7.8 g/cm3


# 3
CaCuPd3 | PBE | optimized geometry

Lattice parameters (Å, degrees): 4.886 4.886 4.886 90.00 90.00 90.00
Space group Pm-3m (No. 221)
One atom of each set of equivalent atoms:
Ca (0.000, 0.000, 0.000) [1 per cell]
Cu (0.500, 0.500, 0.500) [1 per cell]
Pd (0.000, 0.000, 0.500) [3 per cell]

Output
Distance to the lowest polymorph of the same formula: 1280 meV/atom
Energy of formation from the pure elements: 0.927 eV/atom
E_tot: -3.408 eV per atom
Theoretical density: 6.0 g/cm3


# 4
Y7HoSc4 | PBE | optimized geometry

Lattice parameters (Å, degrees): 6.373 6.528 8.904 89.37 76.31 83.66
Space group P-1 (No. 2)
One atom of each set of equivalent atoms:
Y (0.000, 0.000, 0.000) [1 per cell]
Y (0.194, 0.625, 0.398) [2 per cell]
Y (0.305, 0.179, 0.632) [2 per cell]
Y (0.482, 0.753, 0.053) [2 per cell]
Ho (0.000, 0.500, 0.000) [1 per cell]
Sc (0.158, 0.136, 0.298) [2 per cell]
Sc (0.368, 0.679, 0.718) [2 per cell]

Output
Energy of formation from the pure elements: 0.110 eV/atom
E_tot: -6.153 eV per atom
Theoretical density: 4.5 g/cm3


# 5
AcEuErAl | PBE | optimized geometry

Lattice parameters (Å, degrees): 7.924 7.924 7.924 90.00 90.00 90.00
Space group F-43m (No. 216)
One atom of each set of equivalent atoms:
Ac (0.000, 0.000, 0.000) [4 per cell]
Eu (0.250, 0.250, 0.250) [4 per cell]
Er (0.250, 0.250, 0.750) [4 per cell]
Al (0.000, 0.000, 0.500) [4 per cell]

Output
Energy of formation from the pure elements: 0.110 eV/atom
E_tot: -5.562 eV per atom
Theoretical density: 7.7 g/cm3


# 6
Al2FeAgW | PBE | optimized geometry

Lattice parameters (Å, degrees): 4.511 4.511 4.605 90.00 90.00 90.00
Space group P4/mmm (No. 123)
One atom of each set of equivalent atoms:
Al (0.000, 0.500, 0.000) [2 per cell]
Fe (0.000, 0.000, 0.500) [1 per cell]
Ag (0.000, 0.000, 0.000) [1 per cell]
W (0.500, 0.500, 0.500) [1 per cell]

Output
Energy of formation from the pure elements: 1.696 eV/atom
E_tot: -4.654 eV per atom
Theoretical density: 7.1 g/cm3


# 7
DyHo5Er2 | PBE | optimized geometry

Lattice parameters (Å, degrees): 7.027 14.054 4.964 90.00 90.00 90.00
Space group Pbam (No. 55)
One atom of each set of equivalent atoms:
Dy (0.000, 0.000, 0.000) [2 per cell]
Ho (0.000, 0.250, 0.000) [4 per cell]
Ho (0.000, 0.500, 0.000) [2 per cell]
Ho (0.250, 0.125, 0.500) [4 per cell]
Er (0.250, 0.375, 0.500) [4 per cell]

Output
Energy of formation from the pure elements: 0.017 eV/atom
E_tot: -4.560 eV per atom
Theoretical density: 9.0 g/cm3


# 8
Ac2Pr12Ag7 | PBE | optimized geometry

Lattice parameters (Å, degrees): 13.9594 13.9594 3.8792 90.00 90.00 120.00
Space group P-6 (No. 174)
One atom of each set of equivalent atoms:
Ac (0.0000, 0.0000, 0.0000) [1 per cell]
Ac (0.3333, 0.6667, 0.5000) [1 per cell]
Pr (0.0453, 0.2764, 0.5000) [3 per cell]
Pr (0.1078, 0.6985, 0.0000) [3 per cell]
Pr (0.3913, 0.1939, 0.0000) [3 per cell]
Pr (0.5518, 0.4445, 0.5000) [3 per cell]
Ag (0.1049, 0.4745, 0.0000) [3 per cell]
Ag (0.2143, 0.1932, 0.5000) [3 per cell]
Ag (0.6667, 0.3333, 0.0000) [1 per cell]

Output
Energy of formation from the pure elements: -0.102 eV/atom
E_tot: -4.175 eV per atom
Theoretical density: 7.4 g/cm3


# 9
KOsCl2 | PBE | optimized geometry

Lattice parameters (Å, degrees): 4.0891 4.0891 18.1356 90.00 90.00 120.00
Space group R-3m (No. 166, hexagonal axes)
One atom of each set of equivalent atoms:
K (0.0000, 0.0000, 0.0000) [3 per cell]
Os (0.0000, 0.0000, 0.5000) [3 per cell]
Cl (0.0000, 0.0000, 0.2202) [6 per cell]

Output
Energy relative to the elements, uncorrected: 0.07 eV per atom
Distance to the lowest polymorph of the same formula: 211 meV/atom
E_tot: -3.932 eV per atom
Theoretical density: 5.7 g/cm3


# 10
Tb8PmHo6 | PBE | optimized geometry

Lattice parameters (Å, degrees): 9.0196 9.0196 20.5770 90.00 90.00 120.00
Space group R-3 (No. 148, hexagonal axes)
One atom of each set of equivalent atoms:
Tb (0.0000, 0.0000, 0.0767) [6 per cell]
Tb (0.0811, 0.5281, 0.3080) [18 per cell]
Pm (0.0000, 0.0000, 0.5000) [3 per cell]
Ho (0.0568, 0.8119, 0.2069) [18 per cell]

Output
Energy of formation from the pure elements: 0.131 eV/atom
E_tot: -4.486 eV per atom
Theoretical density: 8.3 g/cm3


# 11
Mg3Ir2 | PBE | optimized geometry

Lattice parameters (Å, degrees): 5.5880 5.5880 20.0484 90.00 90.00 120.00
Space group R-3c (No. 167, hexagonal axes)
One atom of each set of equivalent atoms:
Mg (0.0000, 0.4454, 0.2500) [18 per cell]
Ir (0.0000, 0.0000, 0.1854) [12 per cell]

Output
Distance to the lowest polymorph of the same formula: 204 meV/atom
Energy of formation from the pure elements: 0.046 eV/atom
E_tot: -4.456 eV per atom
Theoretical density: 8.4 g/cm3


# 12
ZrMn3Be | PBE | optimized geometry

Lattice parameters (Å, degrees): 4.121 4.121 4.121 90.00 90.00 90.00
Space group Pm-3m (No. 221)
One atom of each set of equivalent atoms:
Zr (0.000, 0.000, 0.000) [1 per cell]
Mn (0.000, 0.500, 0.500) [3 per cell]
Be (0.500, 0.500, 0.500) [1 per cell]

Output
Distance to the lowest polymorph of the same formula: 0 meV/atom
Energy of formation from the pure elements: 0.301 eV/atom
E_tot: -7.656 eV per atom
Theoretical density: 6.3 g/cm3


# 13
TaAlTe2 | PBE | optimized geometry

Lattice parameters (Å, degrees): 3.2596 3.2596 31.8573 90.00 90.00 120.00
Space group R3m (No. 160, hexagonal axes)
One atom of each set of equivalent atoms:
Ta (0.0000, 0.0000, 0.0000) [3 per cell]
Al (0.0000, 0.0000, 0.7319) [3 per cell]
Te (0.0000, 0.0000, 0.2678) [3 per cell]
Te (0.0000, 0.0000, 0.4753) [3 per cell]

Output
Energy relative to the elements, uncorrected: 0.00 eV per atom
E_tot: -5.470 eV per atom
Theoretical density: 7.9 g/cm3


# 14
Rb2PbIN | PBE | optimized geometry

Lattice parameters (Å, degrees): 6.577 6.577 4.265 90.00 90.00 90.00
Space group P4/mmm (No. 123)
One atom of each set of equivalent atoms:
Rb (0.000, 0.500, 0.000) [2 per cell]
Pb (0.000, 0.000, 0.000) [1 per cell]
I (0.500, 0.500, 0.500) [1 per cell]
N (0.000, 0.000, 0.500) [1 per cell]

Output
Energy relative to the elements, uncorrected: 0.06 eV per atom
E_tot: -3.042 eV per atom
Theoretical density: 4.7 g/cm3


# 15
BaGa2Ge2O8 | PBE | optimized geometry

Lattice parameters (Å, degrees): 8.891 10.086 9.510 90.00 90.41 90.00
Space group P2_1/c (No. 14)
One atom of each set of equivalent atoms:
Ba (0.249, 0.086, 0.107) [4 per cell]
Ga (0.070, 0.692, 0.063) [4 per cell]
Ga (0.433, 0.081, 0.726) [4 per cell]
Ge (0.063, 0.084, 0.733) [4 per cell]
Ge (0.438, 0.696, 0.066) [4 per cell]
O (0.008, 0.076, 0.303) [4 per cell]
O (0.057, 0.634, 0.627) [4 per cell]
O (0.063, 0.193, 0.589) [4 per cell]
O (0.246, 0.088, 0.812) [4 per cell]
O (0.260, 0.644, 0.008) [4 per cell]
O (0.431, 0.194, 0.574) [4 per cell]
O (0.440, 0.637, 0.627) [4 per cell]
O (0.491, 0.088, 0.301) [4 per cell]

Output
Energy relative to the elements, uncorrected: -2.03 eV per atom
Distance to the lowest polymorph of the same formula: 0 meV/atom
E_tot: -6.402 eV per atom
Theoretical density: 4.3 g/cm3


# 16
H2SCl8 | PBE | optimized geometry

Lattice parameters (Å, degrees): 10.752 6.896 9.398 90.00 110.42 90.00
Space group C2/m (No. 12)
One atom of each set of equivalent atoms:
H (0.221, 0.000, 0.005) [4 per cell]
S (0.000, 0.500, 0.500) [2 per cell]
Cl (0.056, 0.270, 0.369) [8 per cell]
Cl (0.119, 0.000, 0.232) [4 per cell]
Cl (0.194, 0.500, 0.063) [4 per cell]

Output
E_tot: -2.356 eV per atom
Theoretical density: 1.6 g/cm3


# 17
NpAl6Zn12 | PBE | optimized geometry

Lattice parameters (Å, degrees): 11.2183 11.2183 9.2377 90.00 90.00 120.00
Space group R-3m (No. 166, hexagonal axes)
One atom of each set of equivalent atoms:
Np (0.0000, 0.0000, 0.0000) [3 per cell]
Al (0.0606, 0.5303, 0.2279) [18 per cell]
Zn (0.0000, 0.3932, 0.5000) [18 per cell]
Zn (0.0809, 0.1618, 0.2876) [18 per cell]

Output
Energy of formation from the pure elements: 0.132 eV/atom
E_tot: -2.536 eV per atom
Theoretical density: 5.9 g/cm3


# 18
Na2CaInGe2 | PBE | optimized geometry

Lattice parameters (Å, degrees): 4.490 8.925 7.550 90.00 90.00 90.00
Space group Pmc2_1 (No. 26)
One atom of each set of equivalent atoms:
Na (0.000, 0.080, 0.000) [2 per cell]
Na (0.500, 0.171, 0.314) [2 per cell]
Ca (0.500, 0.439, 0.953) [2 per cell]
In (0.000, 0.316, 0.616) [2 per cell]
Ge (0.000, 0.385, 0.241) [2 per cell]
Ge (0.500, 0.152, 0.712) [2 per cell]

Output
Energy of formation from the pure elements: -0.283 eV/atom
E_tot: -3.052 eV per atom
Theoretical density: 3.8 g/cm3


# 19
Al2BOs2 | PBE | optimized geometry

Lattice parameters (Å, degrees): 5.807 5.807 4.027 90.00 90.00 90.00
Space group P4/mbm (No. 127)
One atom of each set of equivalent atoms:
Al (0.158, 0.342, 0.000) [4 per cell]
B (0.000, 0.000, 0.500) [2 per cell]
Os (0.164, 0.664, 0.500) [4 per cell]

Output
Distance to the lowest polymorph of the same formula: 0 meV/atom
Energy of formation from the pure elements: -0.227 eV/atom
E_tot: -7.551 eV per atom
Theoretical density: 10.9 g/cm3


# 20
Ir2W | PBE | optimized geometry

Lattice parameters (Å, degrees): 3.917 3.917 23.373 90.00 90.00 90.00
Space group I4_1/amd (No. 141, origin choice 2)
One atom of each set of equivalent atoms:
Ir (0.000, 0.250, 0.123) [8 per cell]
Ir (0.000, 0.250, 0.792) [8 per cell]
W (0.000, 0.250, 0.292) [8 per cell]

Output
Energy of formation from the pure elements: -0.266 eV/atom
E_tot: -10.491 eV per atom
Theoretical density: 21.0 g/cm3